Entry 1:
{"formula": "AlHgRuCl2", "functional": "PBE", "state": "optimized geometry", "cell": [[4.536, 0.000, 0.000], [0.000, 4.536, 0.000], [0.000, 0.000, 6.011]], "species": ["Al", "Hg", "Ru", "Cl", "Cl"], "frac_coords": [[0.000, 0.000, 0.000], [0.000, 0.000, 0.500], [0.500, 0.500, 0.500], [0.000, 0.500, 0.000], [0.500, 0.000, 0.000]], "n_ef_per_ev_cell": 11.28, "spacegroup": "P4/mmm (123)", "raw_formation_energy_ev_per_atom": 0.54}

=====

Entry 2:
{"formula": "Y2AlPt6", "functional": "PBE", "state": "optimized geometry", "cell": [[4.833, -2.811, 0.000], [4.833, 2.811, 0.000], [-1.522, 0.000, 6.077]], "species": ["Y", "Y", "Al", "Pt", "Pt", "Pt", "Pt", "Pt", "Pt"], "frac_coords": [[0.146, 0.146, 0.362], [0.854, 0.854, 0.638], [0.500, 0.500, 0.500], [0.110, 0.625, 0.191], [0.375, 0.890, 0.809], [0.379, 0.379, 0.806], [0.621, 0.621, 0.194], [0.625, 0.110, 0.191], [0.890, 0.375, 0.809]], "n_ef_per_ev_cell": 3.21, "formation_energy_ev_per_atom": -1.082, "spacegroup": "C2/m (12)"}

=====

Entry 3:
{"formula": "RbTaReN4", "functional": "PBE", "state": "optimized geometry", "cell": [[5.743, 0.000, 0.000], [0.000, 5.870, 0.000], [-1.275, 0.000, 7.221]], "species": ["Rb", "Rb", "Ta", "Ta", "Re", "Re", "N", "N", "N", "N", "N", "N", "N", "N"], "frac_coords": [[0.169, 0.250, 0.071], [0.831, 0.750, 0.929], [0.133, 0.750, 0.469], [0.867, 0.250, 0.531], [0.406, 0.250, 0.634], [0.594, 0.750, 0.366], [0.156, 0.027, 0.645], [0.156, 0.473, 0.645], [0.287, 0.750, 0.233], [0.478, 0.250, 0.410], [0.522, 0.750, 0.590], [0.713, 0.250, 0.767], [0.844, 0.527, 0.355], [0.844, 0.973, 0.355]], "n_ef_per_ev_cell": 4.09, "spacegroup": "P2_1/m (11)", "raw_formation_energy_ev_per_atom": -0.29}

=====

Entry 4:
{"formula": "GePbAu", "functional": "PBE", "state": "optimized geometry", "cell": [[0.000, 3.356, 3.356], [3.356, 0.000, 3.356], [3.356, 3.356, 0.000]], "species": ["Ge", "Pb", "Au"], "frac_coords": [[0.000, 0.000, 0.000], [0.500, 0.500, 0.500], [0.750, 0.750, 0.750]], "n_ef_per_ev_cell": 1.14, "formation_energy_ev_per_atom": 0.094, "spacegroup": "F-43m (216)", "de_polymorph_mev_per_atom": 107}